A) Compound: CsMnPS2
Source: Alexandria
Functional: PBE
Structure: optimized geometry Values from VASP.

Geometry as Quantum ESPRESSO input:
```
&SYSTEM
  ibrav = 0, nat = 5, ntyp = 4
/
ATOMIC_SPECIES
Mn 54.94 Mn.upf
P 30.97 P.upf
S 32.06 S.upf
Cs 132.91 Cs.upf
CELL_PARAMETERS angstrom
4.9466 0.0000 0.0000
0.0000 4.9466 0.0000
0.0000 0.0000 4.6266
ATOMIC_POSITIONS crystal
Mn 0.0000 0.0000 0.0000
P 0.0000 0.0000 0.5000
S 0.5000 0.0000 0.0000
S 0.0000 0.5000 0.0000
Cs 0.5000 0.5000 0.5000
```

## Properties
- SG: P4/mmm (123)

B) Compound: CsMnPS2
Source: Alexandria
Functional: PBE
Structure: optimized geometry Values from VASP.

Geometry as Quantum ESPRESSO input:
```
&SYSTEM
  ibrav = 0, nat = 5, ntyp = 4
/
ATOMIC_SPECIES
P 30.97 P.upf
S 32.06 S.upf
Mn 54.94 Mn.upf
Cs 132.91 Cs.upf
CELL_PARAMETERS angstrom
-2.6622 4.0716 -2.2422
-4.6344 -2.5235 0.9202
-0.3840 2.5800 5.1409
ATOMIC_POSITIONS crystal
P 0.0000 0.0000 0.5000
S 0.0000 0.5000 0.0000
S 0.5000 0.0000 0.0000
Mn 0.5000 0.5000 0.5000
Cs 0.0000 0.0000 0.0000
```

## Properties
- SG: P4/mmm (123)

Stability ranking, top and bottom: A) is the most stable and B) is the least stable.

A) Compound: CsMnPb3
Source: Alexandria
Functional: PBE
Structure: optimized geometry Values from VASP.

Geometry as Quantum ESPRESSO input:
```
&SYSTEM
  ibrav = 0, nat = 5, ntyp = 3
/
ATOMIC_SPECIES
Mn 54.94 Mn.upf
Pb 207.20 Pb.upf
Cs 132.91 Cs.upf
CELL_PARAMETERS angstrom
-4.1573 1.3679 3.0367
-2.6505 -4.2998 -1.6918
2.0168 -2.8313 4.0363
ATOMIC_POSITIONS crystal
Mn 0.0000 0.0000 0.0000
Pb 0.0000 0.5000 0.0000
Pb 0.5000 0.0000 0.0000
Pb 0.0000 0.0000 0.5000
Cs 0.5000 0.5000 0.5000
```

## Properties
- SG: Pm-3m (221)

B) Compound: CsMnPb3
Source: Alexandria
Functional: PBE
Structure: optimized geometry Values from VASP.

Geometry as Quantum ESPRESSO input:
```
&SYSTEM
  ibrav = 0, nat = 5, ntyp = 3
/
ATOMIC_SPECIES
Pb 207.20 Pb.upf
Cs 132.91 Cs.upf
Mn 54.94 Mn.upf
CELL_PARAMETERS angstrom
-3.9063 0.4998 -4.7800
2.2789 -5.2306 -2.4093
-4.2314 -3.2784 3.1152
ATOMIC_POSITIONS crystal
Pb 0.0000 0.5000 0.0000
Pb 0.0000 0.0000 0.5000
Pb 0.5000 0.0000 0.0000
Cs 0.0000 0.0000 0.0000
Mn 0.5000 0.5000 0.5000
```

## Properties
- SG: Pm-3m (221)

Stability ranking, top and bottom: A) is the most stable and B) is the least stable.

A) Compound: CsMnPd3
Source: Alexandria
Functional: PBE
Structure: optimized geometry Values from VASP.

Geometry as Quantum ESPRESSO input:
```
&SYSTEM
  ibrav = 0, nat = 5, ntyp = 3
/
ATOMIC_SPECIES
Cs 132.91 Cs.upf
Pd 106.42 Pd.upf
Mn 54.94 Mn.upf
CELL_PARAMETERS angstrom
-4.1590 -1.0987 -3.0367
0.7929 -5.1473 0.7763
-3.1305 0.1559 4.2311
ATOMIC_POSITIONS crystal
Cs 0.0000 0.0000 0.0000
Pd 0.0000 0.0000 0.5000
Pd 0.5000 0.0000 0.0000
Pd 0.0000 0.5000 0.0000
Mn 0.5000 0.5000 0.5000
```

## Properties
- SG: Pm-3m (221)

B) Compound: CsMnPd3
Source: Alexandria
Functional: PBE
Structure: optimized geometry Values from VASP.

Geometry as Quantum ESPRESSO input:
```
&SYSTEM
  ibrav = 0, nat = 5, ntyp = 3
/
ATOMIC_SPECIES
Pd 106.42 Pd.upf
Mn 54.94 Mn.upf
Cs 132.91 Cs.upf
CELL_PARAMETERS angstrom
4.9489 0.0000 0.0000
0.0000 4.9489 0.0000
0.0000 0.0000 4.9489
ATOMIC_POSITIONS crystal
Pd 0.5000 0.0000 0.0000
Pd 0.0000 0.5000 0.0000
Pd 0.0000 0.0000 0.5000
Mn 0.0000 0.0000 0.0000
Cs 0.5000 0.5000 0.5000
```

## Properties
- SG: Pm-3m (221)

Stability ranking, top and bottom: B) is the most stable and A) is the least stable.

A) Compound: CsMnSb2
Source: Alexandria
Functional: PBE
Structure: optimized geometry Values from VASP.

Geometry as Quantum ESPRESSO input:
```
&SYSTEM
  ibrav = 0, nat = 4, ntyp = 3
/
ATOMIC_SPECIES
Cs 132.91 Cs.upf
Sb 121.76 Sb.upf
Mn 54.94 Mn.upf
CELL_PARAMETERS angstrom
4.2747 0.0000 0.0000
2.1374 3.7020 0.0000
2.1374 1.2340 8.1936
ATOMIC_POSITIONS crystal
Cs 0.5000 0.5000 0.5000
Sb 0.7144 0.7144 0.8569
Sb 0.2856 0.2856 0.1431
Mn 0.0000 0.0000 0.0000
```

## Properties
- SG: R-3m (166)

B) Compound: CsMnSb2
Source: Alexandria
Functional: PBE
Structure: optimized geometry Values from VASP.

Geometry as Quantum ESPRESSO input:
```
&SYSTEM
  ibrav = 0, nat = 4, ntyp = 3
/
ATOMIC_SPECIES
Cs 132.91 Cs.upf
Sb 121.76 Sb.upf
Mn 54.94 Mn.upf
CELL_PARAMETERS angstrom
0.0000 3.9267 3.9267
3.9267 0.0000 3.9267
3.9267 3.9267 0.0000
ATOMIC_POSITIONS crystal
Cs 0.5000 0.5000 0.5000
Sb 0.7500 0.7500 0.7500
Sb 0.2500 0.2500 0.2500
Mn 0.0000 0.0000 0.0000
```

## Properties
- SG: Fm-3m (225)

Stability ranking, top and bottom: A) is the most stable and B) is the least stable.